Entry 1:
## K3TmNb2O8 (GGA-PBE)

Data for K3TmNb2O8 after structural relaxation.

Properties
As for the density of states at the Fermi level: 0.00 states/eV per atom. For the total magnetization, the calculation gives 0.000 μB/atom. The formation energy without anion corrections is -36.29 eV/f.u. The calculation puts the raw total energy at -7.418 eV/atom.

Unit cell a=6.1543 b=6.1543 c=7.7305 alpha=90.00 beta=90.00 gamma=120.00
Space group P-3m1 (No. 164)
Asymmetric unit:
K1 0.0000 0.0000 0.0000 (multiplicity 1)
K2 0.3333 0.6667 0.6745 (multiplicity 2)
Tm1 0.0000 0.0000 0.5000 (multiplicity 1)
Nb1 0.3333 0.6667 0.2361 (multiplicity 2)
O1 0.1678 0.3355 0.3264 (multiplicity 6)
O2 0.3333 0.6667 0.0005 (multiplicity 2)

***

Entry 2:
## Sm8Ir3SBr4 (GGA-PBE)

Data for Sm8Ir3SBr4 after structural relaxation.

Properties
As for the density of states at the Fermi level: 0.54 states/eV per atom. For the total magnetization, the calculation gives 0.000 μB/atom. The formation energy without anion corrections is -19.25 eV/f.u. The calculation puts the raw total energy at -5.900 eV/atom.

Unit cell a=8.3157 b=8.3157 c=22.8015 alpha=90.00 beta=90.00 gamma=120.00
Space group R-3m (No. 166, hexagonal axes)
Asymmetric unit:
Sm1 0.0000 0.0000 0.2312 (multiplicity 6)
Sm2 0.0138 0.5069 0.7682 (multiplicity 18)
Ir1 0.0000 0.5000 0.5000 (multiplicity 9)
S1 0.0000 0.0000 0.5000 (multiplicity 3)
Br1 0.0000 0.0000 0.0000 (multiplicity 3)
Br2 0.0000 0.5000 0.0000 (multiplicity 9)

***

Entry 3:
## V2RePt2 (GGA-PBE)

Data for V2RePt2 after structural relaxation.

Properties
As for the density of states at the Fermi level: 1.02 states/eV per atom. For the total magnetization, the calculation gives 0.000 μB/atom. The relative energy among the computed polymorphs comes out at 0.000 eV per atom. Its calculated formation energy is -177 meV per atom. The calculation puts the raw total energy at -8.730 eV/atom.

Unit cell a=7.4450 b=7.4450 c=2.6927 alpha=90.00 beta=90.00 gamma=90.00
Space group P4/mbm (No. 127)
Asymmetric unit:
V1 0.1719 0.3281 0.0000 (multiplicity 4)
Re1 0.0000 0.0000 0.5000 (multiplicity 2)
Pt1 0.1274 0.6274 0.5000 (multiplicity 4)

***

Entry 4:
## K8Rb3Hg2 (GGA-PBE)

Data for K8Rb3Hg2 after structural relaxation.

Properties
As for the density of states at the Fermi level: 0.79 states/eV per atom. For the total magnetization, the calculation gives 0.000 μB/atom. Its calculated formation energy is -47 meV per atom. The calculation puts the raw total energy at -0.993 eV/atom.

Unit cell a=11.4640 b=5.8808 c=13.0897 alpha=90.00 beta=102.48 gamma=90.00
Space group P2/m (No. 10)
Asymmetric unit:
K1 0.0662 0.0000 0.2648 (multiplicity 2)
K2 0.1538 0.5000 0.9412 (multiplicity 2)
K3 0.3570 0.5000 0.2453 (multiplicity 2)
K4 0.3977 0.0000 0.8502 (multiplicity 2)
Rb1 0.1971 0.5000 0.5770 (multiplicity 2)
Rb2 0.5000 0.0000 0.5000 (multiplicity 1)
Hg1 0.2727 0.0000 0.0884 (multiplicity 2)

***

Entry 5:
## KCo2Te (GGA-PBE)

Data for KCo2Te after structural relaxation.

Properties
As for the density of states at the Fermi level: 1.77 states/eV per atom. For the total magnetization, the calculation gives 0.807 μB/atom. The formation energy without anion corrections is 3.64 eV/f.u. The calculation puts the raw total energy at -3.703 eV/atom.

Unit cell a=5.3691 b=2.9753 c=5.6266 alpha=90.00 beta=117.17 gamma=90.00
Space group P2/m (No. 10)
Asymmetric unit:
K1 0.0000 0.0000 0.0000 (multiplicity 1)
Co1 0.5000 0.0000 0.5000 (multiplicity 1)
Co2 0.5000 0.5000 0.0000 (multiplicity 1)
Te1 0.0000 0.5000 0.5000 (multiplicity 1)

***

Entry 6:
## Mn2TcI2 (GGA-PBE)

Data for Mn2TcI2 after structural relaxation.

Properties
As for the density of states at the Fermi level: 1.06 states/eV per atom. For the total magnetization, the calculation gives 2.327 μB/atom. The relative energy among the computed polymorphs comes out at 0.000 eV per atom. The formation energy without anion corrections is 5.68 eV/f.u. The calculation puts the raw total energy at -5.225 eV/atom.

Unit cell a=5.5315 b=5.5315 c=8.0118 alpha=90.00 beta=90.00 gamma=90.00
Space group I4/mmm (No. 139)
Asymmetric unit:
Mn1 0.0000 0.0000 0.1642 (multiplicity 4)
Tc1 0.0000 0.0000 0.5000 (multiplicity 2)
I1 0.0000 0.5000 0.2500 (multiplicity 4)

***

Entry 7:
## RbMgPd2 (GGA-PBE)

Data for RbMgPd2 after structural relaxation.

Properties
As for the density of states at the Fermi level: 0.30 states/eV per atom. For the total magnetization, the calculation gives 0.000 μB/atom. Its calculated formation energy is 42 meV per atom. The calculation puts the raw total energy at -3.195 eV/atom.

Unit cell a=5.2911 b=5.2911 c=17.5617 alpha=90.00 beta=90.00 gamma=90.00
Space group I-42d (No. 122)
Asymmetric unit:
Rb1 0.0000 0.0000 0.0000 (multiplicity 4)
Mg1 0.0000 0.0000 0.5000 (multiplicity 4)
Pd1 0.0473 0.2500 0.6250 (multiplicity 8)

***

Entry 8:
## Cr2FeTe (GGA-PBE)

Data for Cr2FeTe after structural relaxation.

Properties
As for the density of states at the Fermi level: 1.20 states/eV per atom. For the total magnetization, the calculation gives 0.905 μB/atom. The relative energy among the computed polymorphs comes out at 0.069 eV per atom. The formation energy without anion corrections is 1.71 eV/f.u. The calculation puts the raw total energy at -7.285 eV/atom.

Unit cell a=3.8205 b=3.8205 c=7.4747 alpha=90.00 beta=90.00 gamma=90.00
Space group I-4m2 (No. 119)
Asymmetric unit:
Cr1 0.0000 0.0000 0.0000 (multiplicity 2)
Cr2 0.0000 0.5000 0.2500 (multiplicity 2)
Fe1 0.0000 0.5000 0.7500 (multiplicity 2)
Te1 0.0000 0.0000 0.5000 (multiplicity 2)

***

Entry 9:
## LaUTl2Se4 (GGA-PBE)

Data for LaUTl2Se4 after structural relaxation.

Properties
As for the density of states at the Fermi level: 0.96 states/eV per atom. For the total magnetization, the calculation gives 0.375 μB/atom. The formation energy without anion corrections is -9.19 eV/f.u. The calculation puts the raw total energy at -5.509 eV/atom.

Unit cell a=7.4928 b=4.3097 c=8.1481 alpha=90.00 beta=107.74 gamma=90.00
Space group P2/m (No. 10)
Asymmetric unit:
La1 0.0000 0.0000 0.0000 (multiplicity 1)
U1 0.5000 0.5000 0.0000 (multiplicity 1)
Tl1 0.0000 0.5000 0.5000 (multiplicity 1)
Tl2 0.5000 0.0000 0.5000 (multiplicity 1)
Se1 0.2469 0.5000 0.2105 (multiplicity 2)
Se2 0.2754 0.0000 0.7939 (multiplicity 2)

***

Entry 10:
## KBa4Sn3O12 (GGA-PBE)

Data for KBa4Sn3O12 after structural relaxation.

Properties
As for the density of states at the Fermi level: 0.63 states/eV per atom. For the total magnetization, the calculation gives 0.157 μB/atom. The formation energy without anion corrections is -36.83 eV/f.u. The calculation puts the raw total energy at -5.856 eV/atom.

Unit cell a=8.7059 b=8.7059 c=8.7059 alpha=90.00 beta=90.00 gamma=90.00
Space group Im-3m (No. 229)
Asymmetric unit:
K1 0.0000 0.0000 0.0000 (multiplicity 2)
Ba1 0.2500 0.2500 0.2500 (multiplicity 8)
Sn1 0.0000 0.0000 0.5000 (multiplicity 6)
O1 0.0000 0.0000 0.2753 (multiplicity 12)
O2 0.0000 0.2500 0.5000 (multiplicity 12)

***

Entry 11:
## Tb4Pm15Nd (GGA-PBE)

Data for Tb4Pm15Nd after structural relaxation.

Properties
As for the density of states at the Fermi level: 1.41 states/eV per atom. For the total magnetization, the calculation gives 0.000 μB/atom. Its calculated formation energy is 15 meV per atom. The calculation puts the raw total energy at -4.713 eV/atom.

Unit cell a=5.1426 b=5.1426 c=25.6614 alpha=90.00 beta=90.00 gamma=90.00
Space group P4/mmm (No. 123)
Asymmetric unit:
Tb1 0.0000 0.0000 0.0997 (multiplicity 2)
Tb2 0.0000 0.0000 0.2991 (multiplicity 2)
Pm1 0.0000 0.5000 0.0000 (multiplicity 2)
Pm2 0.0000 0.5000 0.1994 (multiplicity 4)
Pm3 0.0000 0.5000 0.3988 (multiplicity 4)
Pm4 0.5000 0.5000 0.0998 (multiplicity 2)
Pm5 0.5000 0.5000 0.2988 (multiplicity 2)
Pm6 0.5000 0.5000 0.5000 (multiplicity 1)
Nd1 0.0000 0.0000 0.5000 (multiplicity 1)

***

Entry 12:
## Na5Cd3In3 (GGA-PBE)

Data for Na5Cd3In3 after structural relaxation.

Properties
As for the density of states at the Fermi level: 0.35 states/eV per atom. For the total magnetization, the calculation gives 0.000 μB/atom. Its calculated formation energy is -19 meV per atom. The calculation puts the raw total energy at -1.615 eV/atom.

Unit cell a=10.7034 b=10.7034 c=3.1619 alpha=90.00 beta=90.00 gamma=120.00
Space group P-62m (No. 189)
Asymmetric unit:
Na1 0.0000 0.3366 0.0000 (multiplicity 3)
Na2 0.3333 0.6667 0.0000 (multiplicity 2)
Cd1 0.0000 0.8419 0.0000 (multiplicity 3)
In1 0.0000 0.6004 0.5000 (multiplicity 3)

***

Entry 13:
## BeFeSb (GGA-PBE)

Data for BeFeSb after structural relaxation.

Properties
As for the density of states at the Fermi level: 0.48 states/eV per atom. For the total magnetization, the calculation gives 0.506 μB/atom. The relative energy among the computed polymorphs comes out at 0.358 eV per atom. The formation energy without anion corrections is 1.61 eV/f.u. The calculation puts the raw total energy at -4.901 eV/atom.

Unit cell a=3.0549 b=3.0549 c=5.7379 alpha=90.00 beta=90.00 gamma=120.00
Space group P3m1 (No. 156)
Asymmetric unit:
Be1 0.0000 0.0000 0.0000 (multiplicity 1)
Fe1 0.6667 0.3333 0.2639 (multiplicity 1)
Sb1 0.3333 0.6667 0.6054 (multiplicity 1)

***

Entry 14:
## Pm3MgAg8 (GGA-PBE)

Data for Pm3MgAg8 after structural relaxation.

Properties
As for the density of states at the Fermi level: 0.78 states/eV per atom. For the total magnetization, the calculation gives 0.000 μB/atom. Its calculated formation energy is -177 meV per atom. The calculation puts the raw total energy at -3.398 eV/atom.

Unit cell a=5.7070 b=5.7070 c=27.9853 alpha=90.00 beta=90.00 gamma=120.00
Space group R3m (No. 160, hexagonal axes)
Asymmetric unit:
Pm1 0.0000 0.0000 0.0000 (multiplicity 3)
Pm2 0.0000 0.0000 0.1245 (multiplicity 3)
Pm3 0.0000 0.0000 0.6137 (multiplicity 3)
Mg1 0.0000 0.0000 0.4910 (multiplicity 3)
Ag1 0.0000 0.0000 0.3072 (multiplicity 3)
Ag2 0.0000 0.0000 0.8084 (multiplicity 3)
Ag3 0.0009 0.5004 0.0585 (multiplicity 9)
Ag4 0.0028 0.5014 0.5570 (multiplicity 9)

***

Entry 15:
## HoSnRhAu (GGA-PBE)

Data for HoSnRhAu after structural relaxation.

Properties
As for the density of states at the Fermi level: 0.63 states/eV per atom. For the total magnetization, the calculation gives 0.000 μB/atom. Its calculated formation energy is -640 meV per atom. The calculation puts the raw total energy at -5.442 eV/atom.

Unit cell a=6.8304 b=6.8304 c=6.8304 alpha=90.00 beta=90.00 gamma=90.00
Space group F-43m (No. 216)
Asymmetric unit:
Ho1 0.0000 0.0000 0.0000 (multiplicity 4)
Sn1 0.0000 0.0000 0.5000 (multiplicity 4)
Rh1 0.2500 0.2500 0.2500 (multiplicity 4)
Au1 0.2500 0.2500 0.7500 (multiplicity 4)

***

Entry 16:
## YHo10Tm2 (GGA-PBE)

Data for YHo10Tm2 after structural relaxation.

Properties
As for the density of states at the Fermi level: 2.21 states/eV per atom. For the total magnetization, the calculation gives 0.000 μB/atom. Its calculated formation energy is 284 meV per atom. The calculation puts the raw total energy at -4.423 eV/atom.

Unit cell a=6.5142 b=15.3735 c=17.0258 alpha=90.00 beta=90.00 gamma=90.00
Space group Fmmm (No. 69)
Asymmetric unit:
Y1 0.0000 0.0000 0.0000 (multiplicity 4)
Ho1 0.0000 0.1040 0.3983 (multiplicity 16)
Ho2 0.0000 0.1811 0.1672 (multiplicity 16)
Ho3 0.2500 0.0000 0.2500 (multiplicity 8)
Tm1 0.2500 0.2500 0.0000 (multiplicity 8)

***

Entry 17:
## La2NdSmBi4 (GGA-PBE)

Data for La2NdSmBi4 after structural relaxation.

Properties
As for the density of states at the Fermi level: 0.13 states/eV per atom. For the total magnetization, the calculation gives 0.000 μB/atom. Its calculated formation energy is -997 meV per atom. The calculation puts the raw total energy at -5.355 eV/atom.

Unit cell a=8.0405 b=4.6491 c=8.0467 alpha=90.00 beta=109.49 gamma=90.00
Space group P2/m (No. 10)
Asymmetric unit:
La1 0.0000 0.0000 0.0000 (multiplicity 1)
La2 0.0000 0.5000 0.5000 (multiplicity 1)
Nd1 0.5000 0.0000 0.5000 (multiplicity 1)
Sm1 0.5000 0.5000 0.0000 (multiplicity 1)
Bi1 0.2553 0.5000 0.2502 (multiplicity 2)
Bi2 0.2562 0.0000 0.7534 (multiplicity 2)

***

Entry 18:
## ZnNiRh (GGA-PBE)

Data for ZnNiRh after structural relaxation.

Properties
As for the density of states at the Fermi level: 1.17 states/eV per atom. For the total magnetization, the calculation gives 0.233 μB/atom. The relative energy among the computed polymorphs comes out at 0.010 eV per atom. Its calculated formation energy is -161 meV per atom. The calculation puts the raw total energy at -4.963 eV/atom.

Unit cell a=8.0129 b=3.8549 c=5.1987 alpha=90.00 beta=103.43 gamma=90.00
Space group C2/m (No. 12)
Asymmetric unit:
Zn1 0.1640 0.0000 0.3329 (multiplicity 4)
Ni1 0.0000 0.5000 0.0000 (multiplicity 2)
Ni2 0.0000 0.5000 0.5000 (multiplicity 2)
Rh1 0.1645 0.0000 0.8313 (multiplicity 4)

***

Entry 19:
## Si2RuBr (GGA-PBE)

Data for Si2RuBr after structural relaxation.

Properties
As for the density of states at the Fermi level: 1.18 states/eV per atom. For the total magnetization, the calculation gives 0.000 μB/atom. The relative energy among the computed polymorphs comes out at 0.643 eV per atom. The formation energy without anion corrections is 2.68 eV/f.u. The calculation puts the raw total energy at -4.778 eV/atom.

Unit cell a=4.7523 b=4.7523 c=2.9031 alpha=90.00 beta=90.00 gamma=90.00
Space group P4/mmm (No. 123)
Asymmetric unit:
Si1 0.0000 0.5000 0.0000 (multiplicity 2)
Ru1 0.0000 0.0000 0.5000 (multiplicity 1)
Br1 0.5000 0.5000 0.5000 (multiplicity 1)

***

Entry 20:
## SrTe2Cl (GGA-PBE)

Data for SrTe2Cl after structural relaxation.

Properties
As for the density of states at the Fermi level: 1.46 states/eV per atom. For the total magnetization, the calculation gives 0.000 μB/atom. The relative energy among the computed polymorphs comes out at 0.727 eV per atom. The formation energy without anion corrections is -2.08 eV/f.u. The calculation puts the raw total energy at -2.972 eV/atom.

Unit cell a=7.9117 b=7.9117 c=7.9117 alpha=90.00 beta=90.00 gamma=90.00
Space group Fm-3m (No. 225)
Asymmetric unit:
Sr1 0.0000 0.0000 0.0000 (multiplicity 4)
Te1 0.2500 0.2500 0.2500 (multiplicity 8)
Cl1 0.0000 0.0000 0.5000 (multiplicity 4)